Entry 1:
## UBiH (GGA-PBE)

Data for an optimized crystal structure of UBiH.

Summary:
The spin magnetization comes out at 0.687 μB/atom. The calculation puts the energy above the lowest structure with this stoichiometry at 0.000 eV/atom. Its total energy is -18.88 eV per formula unit.

Unit cell a=3.9600 b=3.9600 c=4.4681 alpha=90.00 beta=90.00 gamma=120.00
Last column: nearest neighbours and their distance in Å.
Fractional positions:
U: 0.0000 0.0000 0.0000  3 H 2.29
Bi: 0.3333 0.6667 0.5000  6 U 3.20, 6 H 3.20
H: 0.6667 0.3333 0.0000  3 U 2.29

---

Entry 2:
## TbMg2CdPd4 (GGA-PBE)

Data for an optimized crystal structure of TbMg2CdPd4.

Summary:
The spin magnetization comes out at 0.000 μB/atom. The formation energy comes out at -679 meV/atom. Its total energy is -34.94 eV per formula unit.

Unit cell a=8.1363 b=8.1363 c=8.1363 alpha=33.33 beta=33.33 gamma=33.33
Last column: nearest neighbours and their distance in Å.
Fractional positions:
Tb: 0.0000 0.0000 0.0000  8 Pd 2.85-2.89
Mg: 0.2447 0.2447 0.2447  8 Pd 2.78-3.09
Mg: 0.7553 0.7553 0.7553  8 Pd 2.78-3.09
Cd: 0.5000 0.5000 0.5000  8 Pd 2.78-2.87
Pd: 0.1239 0.1239 0.1239  4 Mg 2.78-2.81, 1 Tb 2.85, 3 Cd 2.87
Pd: 0.3791 0.3791 0.3791  1 Cd 2.78, 4 Mg 2.87-3.09, 3 Tb 2.89
Pd: 0.6209 0.6209 0.6209  1 Cd 2.78, 4 Mg 2.87-3.09, 3 Tb 2.89
Pd: 0.8761 0.8761 0.8761  4 Mg 2.78-2.81, 1 Tb 2.85, 3 Cd 2.87

---

Entry 3:
## NaSm3H3 (GGA-PBE)

Data for an optimized crystal structure of NaSm3H3.

Summary:
The spin magnetization comes out at 0.378 μB/atom. Its total energy is -26.72 eV per formula unit.

Unit cell a=6.6101 b=6.6101 c=6.6101 alpha=90.00 beta=90.00 gamma=90.00
Last column: nearest neighbours and their distance in Å.
Fractional positions:
Na: 0.0000 0.0000 0.0000  12 H 3.70, 12 Sm 3.70
Na: 0.5000 0.5000 0.5000  12 H 3.70, 12 Sm 3.70
Sm: 0.0000 0.2500 0.5000  4 H 2.34
Sm: 0.0000 0.7500 0.5000  4 H 2.34
Sm: 0.2500 0.5000 0.0000  4 H 2.34
Sm: 0.5000 0.0000 0.2500  4 H 2.34
Sm: 0.5000 0.0000 0.7500  4 H 2.34
Sm: 0.7500 0.5000 0.0000  4 H 2.34
H: 0.0000 0.5000 0.2500  4 Sm 2.34
H: 0.0000 0.5000 0.7500  4 Sm 2.34
H: 0.2500 0.0000 0.5000  4 Sm 2.34
H: 0.5000 0.2500 0.0000  4 Sm 2.34
H: 0.5000 0.7500 0.0000  4 Sm 2.34
H: 0.7500 0.0000 0.5000  4 Sm 2.34

---

Entry 4:
## LaHo4Se5 (GGA-PBE)

Data for an optimized crystal structure of LaHo4Se5.

Summary:
The spin magnetization comes out at 0.000 μB/atom. Its total energy is -58.28 eV per formula unit.

Unit cell a=10.9061 b=10.9061 c=10.9061 alpha=158.38 beta=149.06 gamma=38.06
Last column: nearest neighbours and their distance in Å.
Fractional positions:
La: 0.0000 0.0000 0.0000  6 Se 2.91-3.02
Ho: 0.2034 0.2034 0.0000  6 Se 2.84-2.91
Ho: 0.4011 0.4011 0.0000  6 Se 2.89-2.92
Ho: 0.5989 0.5989 0.0000  6 Se 2.89-2.92
Ho: 0.7966 0.7966 0.0000  6 Se 2.84-2.91
Se: 0.1077 0.6077 0.5000  4 Ho 2.84-2.92, 2 La 3.02
Se: 0.3018 0.8018 0.5000  6 Ho 2.88-2.91
Se: 0.5000 0.0000 0.5000  4 Ho 2.89, 2 La 2.91
Se: 0.6982 0.1982 0.5000  6 Ho 2.88-2.91
Se: 0.8923 0.3923 0.5000  4 Ho 2.84-2.92, 2 La 3.02

---

Entry 5:
## NaBiPb (GGA-PBE)

Data for an optimized crystal structure of NaBiPb.

Summary:
The spin magnetization comes out at 0.000 μB/atom. The formation energy comes out at -63 meV/atom. The calculation puts the energy above the lowest structure with this stoichiometry at 0.142 eV/atom. Its total energy is -9.10 eV per formula unit.

Unit cell a=12.0654 b=4.0408 c=8.1204 alpha=90.00 beta=96.61 gamma=90.00
Last column: nearest neighbours and their distance in Å.
Fractional positions:
Na: 0.0554 0.0000 0.2680  4 Pb 3.35-3.48, 4 Bi 3.46-3.52
Na: 0.4446 0.5000 0.7320  4 Pb 3.35-3.48, 4 Bi 3.46-3.52
Na: 0.5554 0.5000 0.2680  4 Pb 3.35-3.48, 4 Bi 3.46-3.52
Na: 0.9446 0.0000 0.7320  4 Pb 3.35-3.48, 4 Bi 3.46-3.52
Bi: 0.1447 0.5000 0.9643  3 Bi 3.25-3.60, 3 Pb 3.41-3.42, 4 Na 3.46-3.52
Bi: 0.3553 0.0000 0.0357  3 Bi 3.25-3.60, 3 Pb 3.41-3.42, 4 Na 3.46-3.52
Bi: 0.6447 0.0000 0.9643  3 Bi 3.25-3.60, 3 Pb 3.41-3.42, 4 Na 3.46-3.52
Bi: 0.8553 0.5000 0.0357  3 Bi 3.25-3.60, 3 Pb 3.41-3.42, 4 Na 3.46-3.52
Pb: 0.2103 0.0000 0.6493  4 Na 3.35-3.48, 2 Pb 3.38, 3 Bi 3.41-3.42
Pb: 0.2897 0.5000 0.3507  4 Na 3.35-3.48, 2 Pb 3.38, 3 Bi 3.41-3.42
Pb: 0.7103 0.5000 0.6493  4 Na 3.35-3.48, 2 Pb 3.38, 3 Bi 3.41-3.42
Pb: 0.7897 0.0000 0.3507  4 Na 3.35-3.48, 2 Pb 3.38, 3 Bi 3.41-3.42

---

Entry 6:
## Zn2Os (GGA-PBE)

Data for an optimized crystal structure of Zn2Os.

Summary:
The spin magnetization comes out at 0.225 μB/atom. The formation energy comes out at 725 meV/atom. Its total energy is -11.60 eV per formula unit.

Unit cell a=5.9298 b=5.9298 c=5.9298 alpha=90.00 beta=90.00 gamma=90.00
Last column: nearest neighbours and their distance in Å.
Fractional positions:
Zn: 0.2500 0.2500 0.2500  4 Os 2.57
Zn: 0.2500 0.2500 0.7500  4 Os 2.57
Zn: 0.2500 0.7500 0.2500  4 Os 2.57
Zn: 0.2500 0.7500 0.7500  4 Os 2.57
Zn: 0.7500 0.2500 0.2500  4 Os 2.57
Zn: 0.7500 0.2500 0.7500  4 Os 2.57
Zn: 0.7500 0.7500 0.2500  4 Os 2.57
Zn: 0.7500 0.7500 0.7500  4 Os 2.57
Os: 0.0000 0.0000 0.0000  8 Zn 2.57
Os: 0.0000 0.5000 0.5000  8 Zn 2.57
Os: 0.5000 0.0000 0.5000  8 Zn 2.57
Os: 0.5000 0.5000 0.0000  8 Zn 2.57

---

What is the formula in the first record? UBiH